This record from Alexandria describes crystalline Ac2NiO at its relaxed geometry. The functional is GGA+U.

M_tot = 0.0 μB per cell
raw total energy = -17.4 eV per cell

a = 3.772 Å, b = 3.772 Å, c = 8.580 Å
α = 77.30°, β = 77.30°, γ = 60.00°
Sites, in units of the cell vectors:
1 Ni 0.000 0.000 0.000
2 Ac 0.104 0.104 0.687
3 Ac 0.896 0.896 0.313
4 O 0.500 0.500 0.500